DFT (PBE) results for a relaxed structure of PrEr3Au2.

Cell: 5.176 9.387 8.512 Å, 123.32 90.00 106.00°
Fractional positions:
Au1 0.505 0.010 0.172
Au2 0.784 0.568 0.199
Au3 0.495 0.990 0.828
Au4 0.216 0.432 0.801
Pr1 0.866 0.731 0.932
Pr2 0.134 0.269 0.068
Er1 0.064 0.128 0.395
Er2 0.694 0.389 0.395
Er3 0.373 0.745 0.252
Er4 0.627 0.255 0.748
Er5 0.306 0.611 0.605
Er6 0.936 0.872 0.605

Total moment: 0.000 μB per formula unit
DFT total energy: -4.676 eV per atom



DFT (PBE) results for a relaxed structure of PrErPtAu.

Cell: 3.847 4.669 5.752 Å, 90.00 109.54 90.00°
Fractional positions:
Pt1 0.411 0.000 0.822
Pr1 0.140 0.000 0.280
Er1 0.864 0.500 0.729
Au1 0.584 0.500 0.169

Total moment: 0.000 μB per formula unit
DFT total energy: -5.671 eV per atom



These records have E_form values of -0.505, -1.006 eV per atom, in the order they appear.
These records have ΔE to the lowest computed polymorph values of 0.693, 0.000 eV per formula unit, in the order they appear.
These records have DOS(E_F) values of 11.1, 2.3 states/eV/cell, in the order they appear.